1.
NaH7Pd2 (PBE, relaxed); calculated total energy = -35.6 eV per formula unit; total magnetization = 0.0 μB per cell; SG = Cmmm (65)
1.0
-2.290 0.573 -2.657
-4.104 -0.794 3.365
2.095 4.883 -0.752
Na H Pd
1 7 2
Direct
0.000 0.000 0.000
0.000 0.675 0.325
0.000 0.325 0.675
0.500 0.032 0.328
0.500 0.968 0.672
0.500 0.328 0.032
0.500 0.672 0.968
0.500 0.500 0.500
0.500 0.687 0.313
0.500 0.313 0.687

---

2.
K3AlCr2S6 (PBE, relaxed); calculated total energy = -63.2 eV per formula unit; total magnetization = 6.0 μB per cell; SG = C2/m (12)
1.0
6.335 0.000 0.001
-3.166 5.487 0.001
-1.056 -1.829 7.141
K Al Cr S
3 1 2 6
Direct
0.168 0.832 0.500
0.832 0.168 0.500
0.500 0.500 0.500
0.000 0.000 0.000
0.333 0.667 0.000
0.667 0.333 0.000
0.941 0.607 0.823
0.725 0.725 0.177
0.059 0.393 0.177
0.607 0.941 0.823
0.275 0.275 0.823
0.393 0.059 0.177

---

3.
Sm3Hf2PaP6 (PBE, relaxed); calculated total energy = -93.1 eV per formula unit; total magnetization = 0.0 μB per cell; SG = C2/m (12)
1.0
6.791 -0.003 -0.002
-3.396 5.881 -0.002
-1.134 -1.963 6.495
Sm Hf Pa P
3 2 1 6
Direct
0.164 0.836 0.500
0.836 0.164 0.500
0.500 0.500 0.500
0.333 0.667 0.000
0.667 0.333 0.000
0.000 0.000 0.000
0.924 0.583 0.771
0.734 0.734 0.226
0.076 0.417 0.229
0.583 0.924 0.771
0.266 0.266 0.774
0.417 0.076 0.229

---

4.
Cd6Rh5Au (PBE, relaxed); calculated total energy = -46.7 eV per formula unit; total magnetization = 0.0 μB per cell; SG = Immm (71)
1.0
-0.083 -4.414 1.101
6.606 0.023 0.590
-3.857 3.855 5.761
Au Rh Cd
1 5 6
Direct
0.000 0.000 0.000
0.338 0.838 0.676
0.668 0.668 0.335
0.000 0.500 0.000
0.332 0.332 0.665
0.662 0.162 0.324
0.170 0.425 0.340
0.170 0.915 0.340
0.500 0.260 0.000
0.500 0.740 0.000
0.830 0.085 0.660
0.830 0.575 0.660

---

5.
Li8In3Sn4 (PBE, relaxed); calculated total energy = -43.9 eV per formula unit; total magnetization = 0.0 μB per cell; SG = Fm-3m (225)
1.0
0.231 9.345 1.913
-4.433 3.397 7.738
5.101 3.232 7.389
Li In Sn
16 6 8
Direct
0.601 0.133 0.133
0.399 0.867 0.867
0.133 0.133 0.601
0.133 0.133 0.133
0.867 0.867 0.399
0.867 0.867 0.867
0.133 0.601 0.133
0.867 0.399 0.867
0.907 0.364 0.364
0.093 0.636 0.636
0.364 0.364 0.907
0.364 0.364 0.364
0.636 0.636 0.093
0.636 0.636 0.636
0.364 0.907 0.364
0.636 0.093 0.636
0.748 0.748 0.252
0.252 0.252 0.748
0.748 0.252 0.252
0.252 0.748 0.748
0.748 0.252 0.748
0.252 0.748 0.252
0.000 0.000 0.000
0.500 0.500 0.000
0.000 0.000 0.500
0.500 0.000 0.000
0.000 0.500 0.500
0.500 0.000 0.500
0.000 0.500 0.000
0.500 0.500 0.500

---

6.
LaTcAg2 (PBE, relaxed); calculated total energy = -19.1 eV per formula unit; relative energy among the computed polymorphs = 261.4 meV/atom; total magnetization = 0.6 μB per cell; SG = P4/mmm (123)
1.0
2.999 0.006 0.000
-0.005 2.999 0.000
0.000 0.000 8.902
Ag La Tc
2 1 1
Direct
0.000 0.000 0.964
0.000 0.000 0.536
0.500 0.500 0.250
0.500 0.500 0.750

---

7.
NaLaCd11 (PBE, relaxed); calculated total energy = -17.9 eV per formula unit; total magnetization = 0.0 μB per cell; SG = C2/m (12)
1.0
-2.262 -3.524 4.361
4.492 -6.237 1.432
2.434 1.911 6.997
Na La Cd
1 1 11
Direct
0.500 0.500 0.000
0.000 0.000 0.000
0.287 0.213 0.213
0.713 0.787 0.787
0.500 0.787 0.213
0.500 0.213 0.787
0.348 0.651 0.645
0.652 0.349 0.355
0.007 0.349 0.645
0.993 0.651 0.355
0.000 0.500 0.000
0.500 0.000 0.500
0.000 0.000 0.500

---

8.
CaSm5P6 (PBE, relaxed); calculated total energy = -75.4 eV per formula unit; total magnetization = 0.0 μB per cell; SG = C2/m (12)
1.0
-4.528 4.896 2.507
-2.316 -6.574 -1.477
3.699 -1.352 5.947
P Ca Sm
6 1 5
Direct
0.422 0.084 0.252
0.916 0.578 0.748
0.254 0.254 0.748
0.746 0.746 0.252
0.084 0.422 0.252
0.578 0.916 0.748
0.000 0.000 0.000
0.834 0.166 0.500
0.667 0.333 0.000
0.500 0.500 0.500
0.333 0.667 0.000
0.166 0.834 0.500

---

9.
Ba6InAu2 (PBE, relaxed); calculated total energy = -24.8 eV per formula unit; total magnetization = 0.0 μB per cell; SG = Immm (71)
1.0
10.042 -0.156 -0.008
-3.949 9.234 0.008
-3.280 -4.382 8.420
Ba In Au
12 2 4
Direct
0.546 0.720 0.826
0.454 0.280 0.174
0.106 0.280 0.826
0.894 0.720 0.174
0.813 0.755 0.568
0.187 0.245 0.432
0.187 0.755 0.942
0.813 0.245 0.058
0.690 0.354 0.663
0.310 0.646 0.337
0.310 0.973 0.663
0.690 0.027 0.337
0.000 0.500 0.500
0.000 0.000 0.000
0.500 0.378 0.878
0.500 0.622 0.122
0.675 0.000 0.675
0.325 0.000 0.325

---

10.
MnAlBr3 (PBE, relaxed); calculated total energy = -19.9 eV per formula unit; relative energy among the computed polymorphs = 0.0 meV/atom; total magnetization = 5.0 μB per cell; SG = Pm-3m (221)
1.0
5.299 0.000 0.000
0.000 5.299 0.000
0.000 0.000 5.299
Mn Al Br
1 1 3
Direct
0.000 0.000 0.000
0.500 0.500 0.500
0.000 0.500 0.000
0.000 0.000 0.500
0.500 0.000 0.000

---

11.
ZnFe2Pb (PBE, relaxed); calculated total energy = -20.7 eV per formula unit; total magnetization = 4.9 μB per cell; SG = Pm (6)
1.0
-0.589 -2.934 -1.108
3.003 -0.769 0.437
1.509 -2.820 6.665
Fe Pb Zn
2 1 1
Direct
0.000 0.981 0.018
0.500 0.310 0.192
0.000 0.532 0.472
0.500 0.676 0.818

---

12.
Na6GaHg2 (PBE, relaxed); calculated total energy = -12.6 eV per formula unit; total magnetization = 0.0 μB per cell; SG = R-3m (166)
1.0
-3.473 4.027 0.919
-0.516 2.037 4.971
5.983 8.789 -0.052
Na Ga Hg
6 1 2
Direct
0.579 0.579 0.262
0.809 0.809 0.573
0.696 0.696 0.912
0.191 0.191 0.427
0.421 0.421 0.738
0.304 0.304 0.088
0.000 0.000 0.000
0.911 0.911 0.266
0.089 0.089 0.734